Record 1
# GGA-PBEsol Na2Mo2Au, optimized geometry
data_Na2Mo2Au
_space_group_name_H-M_alt 'I 4/m m m'
_space_group_IT_number 139
_space_group_name_Hall '-I 4 2'
_cell_length_a 3.754
_cell_length_b 3.754
_cell_length_c 14.614
_cell_angle_alpha 90.00
_cell_angle_beta 90.00
_cell_angle_gamma 90.00
loop_
_atom_site_label
_atom_site_type_symbol
_atom_site_fract_x
_atom_site_fract_y
_atom_site_fract_z
Na1 Na 0.000 0.500 0.250
Mo1 Mo 0.000 0.000 0.071
Au1 Au 0.000 0.000 0.500
# Energy (Ha/atom): -0.185
# Energy of formation (kcal/mol of atoms): 23.3



Record 2
# GGA-PBEsol ScPt2Cl, optimized geometry
data_ScPt2Cl
_space_group_name_H-M_alt 'I m m m'
_space_group_IT_number 71
_space_group_name_Hall '-I 2 2'
_cell_length_a 2.944
_cell_length_b 4.512
_cell_length_c 9.939
_cell_angle_alpha 90.00
_cell_angle_beta 90.00
_cell_angle_gamma 90.00
loop_
_atom_site_label
_atom_site_type_symbol
_atom_site_fract_x
_atom_site_fract_y
_atom_site_fract_z
Sc1 Sc 0.000 0.000 0.000
Pt1 Pt 0.000 0.500 0.262
Cl1 Cl 0.000 0.000 0.500
# Energy relative to the lowest polymorph listed for this composition (meV per atom): 0
# Raw formation energy (eV/atom): -0.74
# Energy (Ha/atom): -0.234



Record 3
# GGA-PBEsol ReAs2Pb, optimized geometry
data_ReAs2Pb
_space_group_name_H-M_alt 'I m m m'
_space_group_IT_number 71
_space_group_name_Hall '-I 2 2'
_cell_length_a 3.000
_cell_length_b 5.756
_cell_length_c 9.849
_cell_angle_alpha 90.00
_cell_angle_beta 90.00
_cell_angle_gamma 90.00
loop_
_atom_site_label
_atom_site_type_symbol
_atom_site_fract_x
_atom_site_fract_y
_atom_site_fract_z
Re1 Re 0.000 0.000 0.000
As1 As 0.000 0.500 0.301
Pb1 Pb 0.000 0.000 0.500
# Energy (Ha/atom): -0.236
# Energy of formation (kcal/mol of atoms): 11.0